Entry 1:
VASP calculation (PBE-GGA) on a geometry-optimized ZnTcAu2 structure.

Cell and atoms, written as extended XYZ:
```
4
Lattice="-2.103 2.103 3.750 2.103 -2.103 3.750 2.103 2.103 -3.750" Properties=species:S:1:pos:R:3 pbc="T T T"
Zn 0.000 0.000 0.000
Tc 0.000 2.103 1.875
Au 2.103 0.000 1.875
Au 0.000 0.000 3.750
```

Values from the calculation:
uncorrected energy = -4.29 eV per atom



Entry 2:
VASP calculation (PBE-GGA) on a geometry-optimized ZnTcAu2 structure.

Cell and atoms, written as extended XYZ:
```
4
Lattice="2.727 0.000 0.000 0.000 4.672 0.000 0.000 0.000 5.099" Properties=species:S:1:pos:R:3 pbc="T T T"
Zn 0.000 0.000 0.000
Tc 0.000 2.336 1.557
Au 1.364 0.000 2.440
Au 1.364 2.336 4.148
```

Values from the calculation:
uncorrected energy = -4.36 eV per atom



Entry 3:
VASP calculation (PBE-GGA) on a geometry-optimized ZnTcAu3 structure.

Cell and atoms, written as extended XYZ:
```
5
Lattice="5.090 0.000 0.000 0.000 5.090 0.000 0.000 0.000 5.090" Properties=species:S:1:pos:R:3 pbc="T T T"
Zn 0.000 0.000 0.000
Tc 2.545 2.545 2.545
Au 0.000 2.545 2.545
Au 2.545 0.000 2.545
Au 2.545 2.545 0.000
```

Values from the calculation:
uncorrected energy = -3.13 eV per atom
energy above the most stable polymorph in this dataset = 192 meV per atom



Entry 4:
VASP calculation (PBE-GGA) on a geometry-optimized Zn2TcAu2 structure.

Cell and atoms, written as extended XYZ:
```
10
Lattice="7.438 0.000 0.000 0.000 7.438 0.000 0.000 0.000 2.875" Properties=species:S:1:pos:R:3 pbc="T T T"
Zn 0.956 2.763 0.000
Zn 2.763 6.482 0.000
Zn 4.676 0.956 0.000
Zn 6.482 4.676 0.000
Tc 0.000 0.000 0.000
Tc 3.719 3.719 0.000
Au 1.272 4.991 1.438
Au 2.447 1.272 1.438
Au 4.991 6.166 1.438
Au 6.166 2.447 1.438
```

Values from the calculation:
uncorrected energy = -3.72 eV per atom



Entry 5:
VASP calculation (PBE-GGA) on a geometry-optimized ZnTcAu2 structure.

Cell and atoms, written as extended XYZ:
```
4
Lattice="4.708 -1.374 0.000 4.708 1.374 0.000 -0.825 0.000 5.037" Properties=species:S:1:pos:R:3 pbc="T T T"
Zn 0.000 0.000 0.000
Tc 4.296 0.000 2.518
Au 1.736 0.000 3.774
Au 6.855 0.000 1.262
```

Values from the calculation:
uncorrected energy = -4.31 eV per atom



Entry 6:
VASP calculation (PBE-GGA) on a geometry-optimized ZnTcAu2 structure.

Cell and atoms, written as extended XYZ:
```
4
Lattice="1.432 0.827 9.131 -1.432 0.827 9.131 0.000 -1.653 9.131" Properties=species:S:1:pos:R:3 pbc="T T T"
Zn 0.000 0.000 0.000
Tc 0.000 0.000 13.697
Au 0.000 0.000 6.882
Au 0.000 0.000 20.512
```

Values from the calculation:
uncorrected energy = -4.38 eV per atom



Entry 7:
VASP calculation (PBE-GGA) on a geometry-optimized ZnTcAu2 structure.

Cell and atoms, written as extended XYZ:
```
8
Lattice="-1.933 1.933 9.621 1.933 -1.933 9.621 1.933 1.933 -9.621" Properties=species:S:1:pos:R:3 pbc="T T T"
Zn 0.000 0.000 0.000
Zn 0.000 1.933 4.811
Tc 1.933 0.000 4.811
Tc 0.000 0.000 9.621
Au 2.899 0.954 -2.405
Au 0.954 0.966 2.405
Au -0.966 0.979 7.216
Au 0.979 0.966 12.026
```

Values from the calculation:
uncorrected energy = -4.03 eV per atom



Entry 8:
VASP calculation (PBE-GGA) on a geometry-optimized ZnTcAu3 structure.

Cell and atoms, written as extended XYZ:
```
5
Lattice="4.759 0.000 0.000 0.000 4.759 0.000 0.000 0.000 4.759" Properties=species:S:1:pos:R:3 pbc="T T T"
Zn 0.000 0.000 0.000
Tc 2.379 2.379 2.379
Au 0.000 0.000 2.379
Au 0.000 2.379 0.000
Au 2.379 0.000 0.000
```

Values from the calculation:
uncorrected energy = -3.32 eV per atom
energy above the most stable polymorph in this dataset = 0 meV per atom



Entry 9:
VASP calculation (PBE-GGA) on a geometry-optimized ZnTcAu2 structure.

Cell and atoms, written as extended XYZ:
```
4
Lattice="-1.400 2.434 4.818 1.400 -2.434 4.818 1.400 2.434 -4.818" Properties=species:S:1:pos:R:3 pbc="T T T"
Zn 0.000 0.000 0.000
Tc 0.000 0.000 4.818
Au 1.400 0.000 2.318
Au 0.000 2.434 2.500
```

Values from the calculation:
uncorrected energy = -4.26 eV per atom



Entry 10:
VASP calculation (PBE-GGA) on a geometry-optimized ZnTcAu2 structure.

Cell and atoms, written as extended XYZ:
```
4
Lattice="2.824 0.000 0.000 0.000 2.824 0.000 0.000 0.000 8.067" Properties=species:S:1:pos:R:3 pbc="T T T"
Zn 0.000 0.000 0.000
Tc 0.000 0.000 4.033
Au 1.412 1.412 1.970
Au 1.412 1.412 6.097
```

Values from the calculation:
uncorrected energy = -4.39 eV per atom



Entry 11:
VASP calculation (PBE-GGA) on a geometry-optimized ZnTcAu2 structure.

Cell and atoms, written as extended XYZ:
```
4
Lattice="4.037 0.000 0.000 0.000 4.037 0.000 0.000 0.000 4.039" Properties=species:S:1:pos:R:3 pbc="T T T"
Zn 0.000 0.000 0.000
Tc 2.018 2.018 0.000
Au 0.000 2.018 2.019
Au 2.018 0.000 2.019
```

Values from the calculation:
uncorrected energy = -4.29 eV per atom



Entry 12:
VASP calculation (PBE-GGA) on a geometry-optimized Zn3TcAu structure.

Cell and atoms, written as extended XYZ:
```
5
Lattice="4.799 0.000 0.000 0.000 4.799 0.000 0.000 0.000 4.799" Properties=species:S:1:pos:R:3 pbc="T T T"
Zn 0.000 0.000 2.399
Zn 0.000 2.399 0.000
Zn 2.399 0.000 0.000
Tc 2.399 2.399 2.399
Au 0.000 0.000 0.000
```

Values from the calculation:
uncorrected energy = -2.57 eV per atom
energy above the most stable polymorph in this dataset = 0 meV per atom